No. 1
Below is a relaxed structure of GdMgZn, with properties calculated at the PBE level.

Cell: 6.247 6.247 7.775 Å, 101.63 101.63 67.12°
Fractional coordinates of all 12 atoms:
Gd 0.000 0.000 0.000
Gd 0.159 0.159 0.630
Gd 0.333 0.333 0.260
Gd 0.541 0.541 0.972
Mg 0.164 0.660 0.623
Mg 0.660 0.164 0.623
Mg 0.669 0.669 0.625
Mg 0.826 0.826 0.291
Zn 0.012 0.512 0.937
Zn 0.357 0.824 0.318
Zn 0.512 0.012 0.937
Zn 0.824 0.357 0.318

Computed properties:
* raw total energy: -2.696 eV per atom


No. 2
Below is a relaxed structure of RbTmCuTe3, with properties calculated at the PBE level.

Cell: 8.691 8.691 11.230 Å, 90.00 90.00 152.12°
Fractional coordinates of all 12 atoms:
Rb 0.247 0.753 0.750
Rb 0.753 0.247 0.250
Tm 0.500 0.500 0.000
Tm 0.500 0.500 0.500
Cu 0.033 0.967 0.250
Cu 0.967 0.033 0.750
Te 0.124 0.876 0.061
Te 0.124 0.876 0.439
Te 0.435 0.565 0.250
Te 0.565 0.435 0.750
Te 0.876 0.124 0.561
Te 0.876 0.124 0.939

Computed properties:
* raw total energy: -4.002 eV per atom


No. 3
Below is a relaxed structure of Cd2Ni2As3P, with properties calculated at the PBE level.

Cell: 12.293 5.703 5.736 Å, 90.00 117.40 90.00°
Fractional coordinates of all 16 atoms:
Cd 0.119 0.000 0.359
Cd 0.381 0.500 0.641
Cd 0.619 0.500 0.359
Cd 0.881 0.000 0.641
Ni 0.121 0.480 0.879
Ni 0.379 0.980 0.121
Ni 0.621 0.980 0.879
Ni 0.879 0.480 0.121
As 0.000 0.669 0.500
As 0.250 0.234 0.819
As 0.250 0.734 0.181
As 0.500 0.169 0.500
As 0.750 0.234 0.181
As 0.750 0.734 0.819
P 0.000 0.313 0.000
P 0.500 0.813 0.000

Computed properties:
* raw total energy: -3.974 eV per atom


No. 4
Below is a relaxed structure of AlZn2, with properties calculated at the PBE level.

Cell: 7.161 4.812 11.064 Å, 90.00 101.00 90.00°
Fractional coordinates of all 24 atoms:
Al 0.111 0.250 0.263
Al 0.112 0.250 0.764
Al 0.225 0.750 0.405
Al 0.226 0.750 0.152
Al 0.774 0.250 0.848
Al 0.775 0.250 0.595
Al 0.888 0.750 0.236
Al 0.889 0.750 0.737
Zn 0.110 0.250 0.013
Zn 0.111 0.250 0.514
Zn 0.225 0.750 0.654
Zn 0.225 0.750 0.903
Zn 0.443 0.250 0.933
Zn 0.444 0.250 0.429
Zn 0.444 0.250 0.680
Zn 0.445 0.250 0.180
Zn 0.555 0.750 0.820
Zn 0.556 0.750 0.320
Zn 0.556 0.750 0.571
Zn 0.557 0.750 0.067
Zn 0.775 0.250 0.097
Zn 0.775 0.250 0.346
Zn 0.889 0.750 0.486
Zn 0.890 0.750 0.987

Computed properties:
* raw total energy: -2.041 eV per atom


No. 5
Below is a relaxed structure of Ta4PC2S, with properties calculated at the PBE level.

Cell: 3.297 3.297 11.617 Å, 90.00 90.00 120.00°
Fractional coordinates of all 8 atoms:
Ta 0.000 0.000 0.149
Ta 0.000 0.000 0.851
Ta 0.667 0.333 0.344
Ta 0.667 0.333 0.656
P 0.667 0.333 0.000
C 0.333 0.667 0.250
C 0.333 0.667 0.750
S 0.000 0.000 0.500

Computed properties:
* raw total energy: -10.144 eV per atom


No. 6
Below is a relaxed structure of La2HoCd3AgAu2, with properties calculated at the PBE level.

Cell: 3.961 8.017 8.017 Å, 119.80 90.00 90.00°
Fractional coordinates of all 9 atoms:
La 0.000 0.205 0.795
La 0.000 0.795 0.205
Ho 0.000 0.386 0.386
Cd 0.500 0.056 0.056
Cd 0.500 0.537 0.790
Cd 0.500 0.790 0.537
Ag 0.000 0.793 0.793
Au 0.500 0.137 0.459
Au 0.500 0.459 0.137

Computed properties:
* formation energy from the elements: -13.474 kcal/mol of atoms
* raw total energy: -3.525 eV per atom